1.
Entry from Alexandria via LeMat-Bulk: a geometry-optimized AlRe2TcP structure (PBEsol).

Cell: 4.296 4.332 4.332 Å, 90.00 90.00 90.00°
Sites, in units of the cell vectors:
Re: 0.000 0.000 0.500
Re: 0.000 0.500 0.000
Al: 0.500 0.500 0.500
Tc: 0.500 0.000 0.000
P: 0.000 0.000 0.000

Output
* ΔH_f (0 K): 641 meV per atom
* SG: P4/mmm


2.
Entry from Alexandria via LeMat-Bulk: a geometry-optimized AlPRh structure (PBEsol).

Cell: 3.960 3.960 3.960 Å, 60.00 60.00 60.00°
Sites, in units of the cell vectors:
P: 0.250 0.250 0.250
Rh: 0.000 0.000 0.000
Al: 0.500 0.500 0.500

Output
* ΔH_f (0 K): -343 meV per atom
* SG: F-43m


3.
Entry from Alexandria via LeMat-Bulk: a geometry-optimized Al2PRh structure (PBEsol).

Cell: 3.603 4.072 4.634 Å, 116.06 112.88 90.00°
Sites, in units of the cell vectors:
P: 0.500 0.000 0.000
Rh: 0.000 0.500 0.000
Al: 0.757 0.757 0.514
Al: 0.243 0.243 0.486

Output
* ΔH_f (0 K): -369 meV per atom
* SG: Immm


4.
Entry from Alexandria via LeMat-Bulk: a geometry-optimized Al2PRh structure (PBEsol).

Cell: 4.324 4.324 4.324 Å, 60.00 60.00 60.00°
Sites, in units of the cell vectors:
P: 0.500 0.500 0.500
Rh: 0.750 0.750 0.750
Al: 0.000 0.000 0.000
Al: 0.250 0.250 0.250

Output
* ΔH_f (0 K): -163 meV per atom
* SG: F-43m


5.
Entry from Alexandria via LeMat-Bulk: a geometry-optimized AlPRh2Se structure (PBEsol).

Cell: 4.524 4.524 4.610 Å, 90.00 90.00 90.00°
Sites, in units of the cell vectors:
P: 0.500 0.500 0.500
Rh: 0.000 0.500 0.000
Rh: 0.500 0.000 0.000
Al: 0.000 0.000 0.500
Se: 0.000 0.000 0.000

Output
* SG: P4/mmm
* formation energy from raw total energies: 0.84 eV/atom


6.
Entry from Alexandria via LeMat-Bulk: a geometry-optimized Al2PRu structure (PBEsol).

Cell: 3.253 4.259 4.743 Å, 116.68 110.06 90.00°
Sites, in units of the cell vectors:
Ru: 0.500 0.000 0.000
Al: 0.739 0.739 0.478
Al: 0.261 0.261 0.522
P: 0.000 0.500 0.000

Output
* ΔH_f (0 K): -255 meV per atom
* SG: Immm


7.
Entry from Alexandria via LeMat-Bulk: a geometry-optimized AlP2Ru structure (PBEsol).

Cell: 4.242 4.242 4.242 Å, 60.00 60.00 60.00°
Sites, in units of the cell vectors:
Ru: 0.750 0.750 0.750
Al: 0.500 0.500 0.500
P: 0.000 0.000 0.000
P: 0.250 0.250 0.250

Output
* ΔH_f (0 K): 192 meV per atom
* SG: F-43m


8.
Entry from Alexandria via LeMat-Bulk: a geometry-optimized AlPRu2 structure (PBEsol).

Cell: 2.862 4.145 4.835 Å, 114.37 90.00 90.00°
Sites, in units of the cell vectors:
Ru: 0.000 0.000 0.000
Ru: 0.500 0.000 0.500
Al: 0.500 0.500 0.000
P: 0.000 0.500 0.500

Output
* ΔH_f (0 K): -365 meV per atom
* SG: P2/m
* polymorph energy (0 for the lowest one): 186 meV/atom


9.
Entry from Alexandria via LeMat-Bulk: a geometry-optimized AlPRu2 structure (PBEsol).

Cell: 2.954 4.110 4.110 Å, 90.00 90.00 90.00°
Sites, in units of the cell vectors:
Ru: 0.000 0.000 0.500
Ru: 0.000 0.500 0.000
Al: 0.500 0.500 0.500
P: 0.500 0.000 0.000

Output
* ΔH_f (0 K): -551 meV per atom
* SG: P4/mmm
* polymorph energy (0 for the lowest one): 0 meV/atom


10.
Entry from Alexandria via LeMat-Bulk: a geometry-optimized Al2PRu structure (PBEsol).

Cell: 4.269 4.269 4.269 Å, 60.00 60.00 60.00°
Sites, in units of the cell vectors:
Ru: 0.250 0.250 0.250
Al: 0.000 0.000 0.000
Al: 0.750 0.750 0.750
P: 0.500 0.500 0.500

Output
* ΔH_f (0 K): -68 meV per atom
* SG: F-43m


11.
Entry from Alexandria via LeMat-Bulk: a geometry-optimized AlP2Ru structure (PBEsol).

Cell: 3.033 3.892 4.730 Å, 90.00 90.00 90.00°
Sites, in units of the cell vectors:
Ru: 0.000 0.450 0.000
Al: 0.500 0.775 0.500
P: 0.500 0.987 0.000
P: 0.000 0.288 0.500

Output
* ΔH_f (0 K): -186 meV per atom
* SG: Pmm2


12.
Entry from Alexandria via LeMat-Bulk: a geometry-optimized Al2PRu structure (PBEsol).

Cell: 3.168 3.168 5.339 Å, 90.00 90.00 90.00°
Sites, in units of the cell vectors:
Ru: 0.500 0.500 0.500
Al: 0.000 0.000 0.754
Al: 0.000 0.000 0.246
P: 0.500 0.500 0.000

Output
* ΔH_f (0 K): -403 meV per atom
* SG: P4/mmm


Theoretical density for every record listed, in sequence, given in g/cm³: 10.9 6.1 5.7 5.5 6.0 5.7 5.8 8.3 8.7 5.6 5.7 5.8.
E for every record listed, in sequence, given in eV per formula unit: -44.609 -19.051 -23.589 -22.763 -25.804 -25.169 -25.077 -31.689 -32.432 -24.417 -26.591 -25.759.